VASP calculation (PBE) on a geometry-optimized SmSbNO structure.

Cell lengths 3.7794, 5.8186, 6.5642 Å; angles 90.00, 90.00, 90.00 degrees
Last column: nearest neighbours and their distance in Å.
Element x y z (fractional)
Sm (0.0000, 0.5198, 0.3400)  2 O 2.26, 2 N 2.36-2.38
Sm (0.0000, 0.0198, 0.6600)  2 O 2.26, 2 N 2.36-2.38
N (0.0000, 0.9276, 0.3105)  2 Sb 2.19, 2 Sm 2.36-2.38
N (0.0000, 0.4276, 0.6895)  2 Sb 2.19, 2 Sm 2.36-2.38
O (0.5000, 0.3057, 0.3342)  1 Sb 2.13, 2 Sm 2.26
O (0.5000, 0.8057, 0.6658)  1 Sb 2.13, 2 Sm 2.26
Sb (0.5000, 0.0009, 0.1551)  1 O 2.13, 2 N 2.19
Sb (0.5000, 0.5009, 0.8449)  1 O 2.13, 2 N 2.19

## Properties
Its size of the total moment is 0.000 μB/atom. The energy above the most stable polymorph in this dataset comes out at 0.235 eV/atom. As for the space group: No. 26.



VASP calculation (PBE) on a geometry-optimized SmSbN2O structure.

Cell lengths 8.1083, 7.9236, 11.3490 Å; angles 90.00, 134.26, 90.00 degrees
Last column: nearest neighbours and their distance in Å.
Element x y z (fractional)
N (0.7094, 0.9376, 0.0009)  2 Sb 2.05
N (0.9616, 0.2462, 0.1805)  2 Sb 2.08
N (0.1957, 0.5532, 0.1938)  2 Sb 2.05
N (0.5372, 0.7488, 0.2173)  2 Sb 2.07-2.08
N (0.4628, 0.2488, 0.2827)  2 Sb 2.07-2.08
N (0.8043, 0.0532, 0.3062)  2 Sb 2.05
N (0.0384, 0.7462, 0.3195)  2 Sb 2.08
N (0.2906, 0.4376, 0.4991)  2 Sb 2.05
N (0.7094, 0.5624, 0.5009)  2 Sb 2.05
N (0.9616, 0.2538, 0.6805)  2 Sb 2.08
N (0.1957, 0.9468, 0.6938)  2 Sb 2.05
N (0.5372, 0.7512, 0.7173)  2 Sb 2.07-2.08
N (0.4628, 0.2512, 0.7827)  2 Sb 2.07-2.08
N (0.8043, 0.4468, 0.8062)  2 Sb 2.05
N (0.0384, 0.7538, 0.8195)  2 Sb 2.08
N (0.2906, 0.0624, 0.9991)  2 Sb 2.05
O (0.6953, 0.5423, 0.0015)  2 Sb 2.18-2.19, 1 Sm 2.39
O (0.2101, 0.9483, 0.2091)  2 Sb 2.16-2.17
O (0.7899, 0.4483, 0.2909)  2 Sb 2.16-2.17
O (0.3047, 0.0423, 0.4985)  2 Sb 2.18-2.19, 1 Sm 2.39
O (0.6953, 0.9577, 0.5015)  2 Sb 2.18-2.19, 1 Sm 2.39
O (0.2101, 0.5517, 0.7091)  2 Sb 2.16-2.17
O (0.7899, 0.0517, 0.7909)  2 Sb 2.16-2.17
O (0.3047, 0.4577, 0.9985)  2 Sb 2.18-2.19, 1 Sm 2.39
Sb (0.5028, 0.0018, 0.2433)  4 N 2.05-2.08, 2 O 2.16-2.18
Sb (0.9819, 0.9958, 0.2436)  4 N 2.05-2.08, 2 O 2.17-2.19
Sb (0.0181, 0.4958, 0.2564)  4 N 2.05-2.08, 2 O 2.17-2.19
Sb (0.4972, 0.5018, 0.2567)  4 N 2.05-2.08, 2 O 2.16-2.18
Sb (0.5028, 0.4982, 0.7433)  4 N 2.05-2.08, 2 O 2.16-2.18
Sb (0.9819, 0.5042, 0.7436)  4 N 2.05-2.08, 2 O 2.17-2.19
Sb (0.0181, 0.0042, 0.7564)  4 N 2.05-2.08, 2 O 2.17-2.19
Sb (0.4972, 0.9982, 0.7567)  4 N 2.05-2.08, 2 O 2.16-2.18
Sm (0.0508, 0.2495, 0.0212)  4 N 2.36-2.59, 1 O 2.46
Sm (0.5524, 0.2551, 0.0318)  3 N 2.38-2.46, 2 O 2.39-2.61
Sm (0.4476, 0.7551, 0.4682)  3 N 2.38-2.46, 2 O 2.39-2.61
Sm (0.9492, 0.7495, 0.4788)  4 N 2.36-2.59, 1 O 2.46
Sm (0.0508, 0.2505, 0.5212)  4 N 2.36-2.59, 1 O 2.46
Sm (0.5524, 0.2449, 0.5318)  3 N 2.38-2.46, 2 O 2.39-2.61
Sm (0.4476, 0.7449, 0.9682)  3 N 2.38-2.46, 2 O 2.39-2.61
Sm (0.9492, 0.7505, 0.9788)  4 N 2.36-2.59, 1 O 2.46

## Properties
The value obtained for the total energy is -7.03 eV/atom. Its size of the total moment is 0.001 μB/atom. As for the space group: No. 14.



VASP calculation (PBE) on a geometry-optimized SmSbN2O structure.

Cell lengths 5.7128, 5.7487, 9.7550 Å; angles 73.42, 73.57, 60.36 degrees
Last column: nearest neighbours and their distance in Å.
Element x y z (fractional)
N (0.2292, 0.6326, 0.1159)  2 Sb 2.05-2.07
N (0.6407, 0.0189, 0.1511)  2 Sb 2.05
N (0.8778, 0.4544, 0.3644)  2 Sb 2.05-2.11
N (0.4607, 0.2936, 0.3809)  2 Sb 2.05-2.06
N (0.5718, 0.7424, 0.5960)  2 Sb 2.04-2.08
N (0.1470, 0.5336, 0.6443)  2 Sb 2.04-2.07
N (0.7153, 0.1420, 0.6498)  2 Sb 2.05-2.06
N (0.9003, 0.7503, 0.9116)  2 Sb 2.03-2.05
O (0.0764, 0.2022, 0.1011)  2 Sb 2.14-2.18
O (0.2833, 0.8840, 0.3744)  2 Sb 2.17-2.22, 1 Sm 2.38
O (0.3119, 0.9861, 0.8449)  2 Sb 2.05-2.29
O (0.7571, 0.3761, 0.8824)  2 Sb 2.11-2.24
Sb (0.2594, 0.2683, 0.2458)  4 N 2.05-2.07, 2 O 2.17-2.18
Sb (0.5134, 0.4882, 0.5092)  5 N 2.06-2.11, 1 O 2.22
Sb (0.7579, 0.7582, 0.7407)  4 N 2.03-2.05, 1 O 2.24
Sb (0.9796, 0.9861, 0.9975)  3 N 2.05, 3 O 2.05-2.14
Sm (0.6448, 0.6037, 0.1420)  4 N 2.38-2.58, 1 O 2.43
Sm (0.8735, 0.8723, 0.3712)  1 O 2.38, 4 N 2.41-2.56
Sm (0.1491, 0.1418, 0.6035)  4 N 2.37-2.63, 1 O 2.53
Sm (0.3508, 0.3652, 0.8733)  3 O 2.38-2.56, 2 N 2.44-2.53

## Properties
The value obtained for the total energy is -6.99 eV/atom. Its size of the total moment is 0.000 μB/atom. As for the space group: No. 1.



VASP calculation (PBE) on a geometry-optimized SmSbN2O structure.

Cell lengths 5.7461, 5.7461, 14.1314 Å; angles 90.00, 90.00, 120.00 degrees
Last column: nearest neighbours and their distance in Å.
Element x y z (fractional)
N (0.1517, 0.3033, 0.0962)  2 Sb 1.93-2.03
N (0.1517, 0.8483, 0.0962)  2 Sb 1.93-2.03
N (0.6967, 0.8483, 0.0962)  2 Sb 1.93-2.03
N (0.1517, 0.3033, 0.4038)  2 Sb 1.93-2.03
N (0.1517, 0.8483, 0.4038)  2 Sb 1.93-2.03
N (0.6967, 0.8483, 0.4038)  2 Sb 1.93-2.03
N (0.3033, 0.1517, 0.5962)  2 Sb 1.93-2.03
N (0.8483, 0.1517, 0.5962)  2 Sb 1.93-2.03
N (0.8483, 0.6967, 0.5962)  2 Sb 1.93-2.03
N (0.3033, 0.1517, 0.9038)  2 Sb 1.93-2.03
N (0.8483, 0.1517, 0.9038)  2 Sb 1.93-2.03
N (0.8483, 0.6967, 0.9038)  2 Sb 1.93-2.03
O (0.0049, 0.5024, 0.2500)  2 Sb 2.22
O (0.4976, 0.5024, 0.2500)  2 Sb 2.22
O (0.4976, 0.9951, 0.2500)  2 Sb 2.22
O (0.5024, 0.0049, 0.7500)  2 Sb 2.22
O (0.5024, 0.4976, 0.7500)  2 Sb 2.22
O (0.9951, 0.4976, 0.7500)  2 Sb 2.22
Sb (0.0000, 0.0000, 0.0000)  6 N 2.03
Sb (0.3333, 0.6667, 0.1438)  3 N 1.93
Sb (0.3333, 0.6667, 0.3562)  3 N 1.93
Sb (0.0000, 0.0000, 0.5000)  6 N 2.03
Sb (0.6667, 0.3333, 0.6438)  3 N 1.93
Sb (0.6667, 0.3333, 0.8562)  3 N 1.93
Sm (0.6667, 0.3333, 0.1165)  3 O 2.53
Sm (0.0000, 0.0000, 0.2500)  6 N 2.65, 6 O 2.87
Sm (0.6667, 0.3333, 0.3835)  3 O 2.53
Sm (0.3333, 0.6667, 0.6165)  3 O 2.53
Sm (0.0000, 0.0000, 0.7500)  6 N 2.65, 6 O 2.87
Sm (0.3333, 0.6667, 0.8835)  3 O 2.53

## Properties
The value obtained for the total energy is -6.72 eV/atom. Its size of the total moment is 0.000 μB/atom. As for the space group: No. 194.